VASP calculation (PBE-GGA) on a geometry-optimized ZrUBe structure.

Summary:
Crystal system   cubic
Energy   -0.2399 Ha/atom
Spin magnetization   0.14 μB per formula unit

Lattice parameters (Å, degrees): 4.4479 4.4479 4.4479 60.00 60.00 60.00
Last column: nearest neighbours and their distance in Å.
Fractional positions:
Be 0.2500 0.2500 0.2500  4 U 2.72
U 0.0000 0.0000 0.0000  4 Zr 2.72, 4 Be 2.72
Zr 0.7500 0.7500 0.7500  4 U 2.72